# LaPr2Nd2Sm4 (GGA-PBE, relaxed)
# **V**: 35.1 Å³/atom
# **Theoretical density**: 6.89 Mg/m³
# **Formation enthalpy at 0 K**: 0.015 eV/atom
data_LaPr2Nd2Sm4
_chemical_formula_sum 'La2 Pr4 Nd4 Sm8'
_space_group_name_H-M_alt 'C 1 2/m 1'
_space_group_IT_number 12
_cell_length_a 15.601
_cell_length_b 5.202
_cell_length_c 8.208
_cell_angle_alpha 90.00
_cell_angle_beta 108.56
_cell_angle_gamma 90.00
loop_
_space_group_symop_operation_xyz
'x,y,z'
'-x,-y,-z'
'-x,y,-z'
'x,-y,z'
'x+1/2,y+1/2,z'
'-x+1/2,-y+1/2,-z'
'-x+1/2,y+1/2,-z'
'x+1/2,-y+1/2,z'
loop_
_atom_site_label
_atom_site_fract_x
_atom_site_fract_y
_atom_site_fract_z
La1 0.000 0.000 0.000
Pr1 0.111 0.000 0.665
Nd1 0.167 0.500 0.000
Sm1 0.057 0.500 0.334
Sm2 0.222 0.000 0.334

# LaPr4Nd2Sm2 (GGA-PBE, relaxed)
# **V**: 35.6 Å³/atom
# **Theoretical density**: 6.69 Mg/m³
# **Formation enthalpy at 0 K**: 0.012 eV/atom
data_LaPr4Nd2Sm2
_chemical_formula_sum 'La2 Pr8 Nd4 Sm4'
_space_group_name_H-M_alt 'C 1 2/m 1'
_space_group_IT_number 12
_cell_length_a 15.654
_cell_length_b 5.235
_cell_length_c 8.248
_cell_angle_alpha 90.00
_cell_angle_beta 108.46
_cell_angle_gamma 90.00
loop_
_space_group_symop_operation_xyz
'x,y,z'
'-x,-y,-z'
'-x,y,-z'
'x,-y,z'
'x+1/2,y+1/2,z'
'-x+1/2,-y+1/2,-z'
'-x+1/2,y+1/2,-z'
'x+1/2,-y+1/2,z'
loop_
_atom_site_label
_atom_site_fract_x
_atom_site_fract_y
_atom_site_fract_z
La1 0.000 0.000 0.000
Pr1 0.055 0.500 0.334
Pr2 0.223 0.000 0.333
Nd1 0.168 0.500 0.999
Sm1 0.111 0.000 0.665

# La2Tb2Pr4Nd (GGA-PBE, relaxed)
# **V**: 35.5 Å³/atom
# **Theoretical density**: 6.78 Mg/m³
# **Formation enthalpy at 0 K**: 0.006 eV/atom
data_La2Tb2Pr4Nd
_chemical_formula_sum 'La4 Tb4 Pr8 Nd2'
_space_group_name_H-M_alt 'C 1 2/m 1'
_space_group_IT_number 12
_cell_length_a 19.296
_cell_length_b 3.721
_cell_length_c 9.873
_cell_angle_alpha 90.00
_cell_angle_beta 115.81
_cell_angle_gamma 90.00
loop_
_space_group_symop_operation_xyz
'x,y,z'
'-x,-y,-z'
'-x,y,-z'
'x,-y,z'
'x+1/2,y+1/2,z'
'-x+1/2,-y+1/2,-z'
'-x+1/2,y+1/2,-z'
'x+1/2,-y+1/2,z'
loop_
_atom_site_label
_atom_site_fract_x
_atom_site_fract_y
_atom_site_fract_z
La1 0.167 0.000 0.498
Tb1 0.149 0.500 0.167
Pr1 0.018 0.000 0.836
Pr2 0.186 0.500 0.833
Nd1 0.000 0.500 0.500

# LaTb2Pr2Nd2 (GGA-PBE, relaxed)
# **V**: 35.0 Å³/atom
# **Theoretical density**: 6.97 Mg/m³
# **Formation enthalpy at 0 K**: 0.018 eV/atom
data_LaTb2Pr2Nd2
_chemical_formula_sum 'La2 Tb4 Pr4 Nd4'
_space_group_name_H-M_alt 'C 1 2/m 1'
_space_group_IT_number 12
_cell_length_a 11.600
_cell_length_b 5.184
_cell_length_c 8.216
_cell_angle_alpha 90.00
_cell_angle_beta 97.95
_cell_angle_gamma 90.00
loop_
_space_group_symop_operation_xyz
'x,y,z'
'-x,-y,-z'
'-x,y,-z'
'x,-y,z'
'x+1/2,y+1/2,z'
'-x+1/2,-y+1/2,-z'
'-x+1/2,y+1/2,-z'
'x+1/2,-y+1/2,z'
loop_
_atom_site_label
_atom_site_fract_x
_atom_site_fract_y
_atom_site_fract_z
La1 0.000 0.000 0.000
Tb1 0.072 0.500 0.711
Pr1 0.214 0.500 0.145
Nd1 0.142 0.000 0.430

# La2TbPr3Nd6 (GGA-PBE, relaxed)
# **V**: 35.6 Å³/atom
# **Theoretical density**: 6.70 Mg/m³
# **Formation enthalpy at 0 K**: 0.015 eV/atom
data_La2TbPr3Nd6
_chemical_formula_sum 'La4 Tb2 Pr6 Nd12'
_space_group_name_H-M_alt 'C 1 2/m 1'
_space_group_IT_number 12
_cell_length_a 6.400
_cell_length_b 11.084
_cell_length_c 12.247
_cell_angle_alpha 90.00
_cell_angle_beta 100.11
_cell_angle_gamma 90.00
loop_
_space_group_symop_operation_xyz
'x,y,z'
'-x,-y,-z'
'-x,y,-z'
'x,-y,z'
'x+1/2,y+1/2,z'
'-x+1/2,-y+1/2,-z'
'-x+1/2,y+1/2,-z'
'x+1/2,-y+1/2,z'
loop_
_atom_site_label
_atom_site_fract_x
_atom_site_fract_y
_atom_site_fract_z
La1 0.000 0.167 0.000
Tb1 0.000 0.500 0.000
Pr1 0.000 0.000 0.500
Pr2 0.000 0.334 0.500
Nd1 0.249 0.334 0.250
Nd2 0.249 0.500 0.750

# LaTbPr2Nd6 (GGA-PBE, relaxed)
# **V**: 35.7 Å³/atom
# **Theoretical density**: 6.73 Mg/m³
# **Formation enthalpy at 0 K**: 0.113 eV/atom
data_LaTbPr2Nd6
_chemical_formula_sum 'La4 Tb4 Pr8 Nd24'
_space_group_name_H-M_alt 'C 1 2/c 1'
_space_group_IT_number 15
_cell_length_a 9.257
_cell_length_b 15.502
_cell_length_c 10.084
_cell_angle_alpha 90.00
_cell_angle_beta 99.59
_cell_angle_gamma 90.00
loop_
_space_group_symop_operation_xyz
'x,y,z'
'-x,-y,-z'
'-x,y,-z+1/2'
'x,-y,z+1/2'
'x+1/2,y+1/2,z'
'-x+1/2,-y+1/2,-z'
'-x+1/2,y+1/2,-z+1/2'
'x+1/2,-y+1/2,z+1/2'
loop_
_atom_site_label
_atom_site_fract_x
_atom_site_fract_y
_atom_site_fract_z
La1 0.000 0.096 0.250
Tb1 0.000 0.482 0.750
Pr1 0.237 0.450 0.041
Nd1 0.067 0.315 0.444
Nd2 0.103 0.103 0.622
Nd3 0.199 0.276 0.815

VASP energy, respectively: -4.75 -4.77 -4.77 -4.74 -4.77 -4.66 eV per atom.